[1]
VASP calculation (PBE-GGA) on a relaxed structure of CoNiAu2.

The space group is Pm (No. 6) and the conventional cell measures 2.796, 4.155 and 5.267 Å, with angles of 90.00, 105.38 and 90.00 degrees. The asymmetric unit holds Co at (0.000, 0.000, 0.000), Ni at (0.126, 0.500, 0.246), Au at (0.392, 0.500, 0.784) and Au at (0.732, 0.000, 0.460).

The energy above the most stable polymorph in this dataset is 80.9 meV per atom.

[2]
VASP calculation (PBE-GGA) on a relaxed structure of CoNi2Au.

The space group is Pmm2 (No. 25) and the conventional cell measures 2.682, 3.552 and 5.389 Å, with angles of 90.00, 90.00 and 90.00 degrees. The asymmetric unit holds Co at (0.000, 0.000, 0.000), Ni at (0.000, 0.000, 0.438), Ni at (0.500, 0.500, 0.211) and Au at (0.500, 0.500, 0.714).

The energy above the most stable polymorph in this dataset is 35.3 meV per atom.

[3]
VASP calculation (PBE-GGA) on a relaxed structure of CoNiAu.

The space group is Imm2 (No. 44) and the conventional cell measures 2.726, 3.516 and 8.434 Å, with angles of 90.00, 90.00 and 90.00 degrees. The asymmetric unit holds Co at (0.000, 0.000, 0.000), Ni at (0.000, 0.000, 0.367) and Au at (0.000, 0.000, 0.684).

The energy above the most stable polymorph in this dataset is 35.1 meV per atom.

[4]
VASP calculation (PBE-GGA) on a relaxed structure of CoNiAu2.

The space group is P4/mmm (No. 123) and the conventional cell measures 4.158, 4.158 and 3.380 Å, with angles of 90.00, 90.00 and 90.00 degrees. The asymmetric unit holds Co at (0.000, 0.000, 0.000), Ni at (0.500, 0.500, 0.000) and Au at (0.000, 0.500, 0.500).

The energy above the most stable polymorph in this dataset is 106.9 meV per atom.

[5]
VASP calculation (PBE-GGA) on a relaxed structure of CoNi2Au.

The space group is P2/m (No. 10) and the conventional cell measures 4.500, 2.678 and 4.530 Å, with angles of 90.00, 109.26 and 90.00 degrees. The asymmetric unit holds Co at (0.000, 0.000, 0.000), Ni at (0.500, 0.000, 0.500), Ni at (0.500, 0.500, 0.000) and Au at (0.000, 0.500, 0.500).

The energy above the most stable polymorph in this dataset is 94.6 meV per atom.

[6]
VASP calculation (PBE-GGA) on a relaxed structure of CoNiAu.

The space group is P-6m2 (No. 187) and the conventional cell measures 4.1724, 4.1724 and 2.7008 Å, with angles of 90.00, 90.00 and 120.00 degrees. The asymmetric unit holds Co at (0.0000, 0.0000, 0.0000), Ni at (0.6667, 0.3333, 0.0000) and Au at (0.3333, 0.6667, 0.5000).

The energy above the most stable polymorph in this dataset is 95.2 meV per atom.

[7]
VASP calculation (PBE-GGA) on a relaxed structure of Co2NiAu.

The space group is I-4m2 (No. 119) and the conventional cell measures 3.739, 3.739 and 7.304 Å, with angles of 90.00, 90.00 and 90.00 degrees. The asymmetric unit holds Co at (0.000, 0.000, 0.000), Co at (0.000, 0.500, 0.250), Ni at (0.000, 0.000, 0.500) and Au at (0.000, 0.500, 0.750).

The energy above the most stable polymorph in this dataset is 24.2 meV per atom.

[8]
VASP calculation (PBE-GGA) on a relaxed structure of Co2NiAu.

The space group is I-42d (No. 122) and the conventional cell measures 6.693, 6.693 and 5.015 Å, with angles of 90.00, 90.00 and 90.00 degrees. The asymmetric unit holds Co at (0.214, 0.750, 0.125), Ni at (0.000, 0.000, 0.000) and Au at (0.000, 0.000, 0.500).

The energy above the most stable polymorph in this dataset is 398.4 meV per atom.

[9]
VASP calculation (PBE-GGA) on a relaxed structure of CoNi2Au.

The space group is I-42d (No. 122) and the conventional cell measures 6.624, 6.624 and 5.092 Å, with angles of 90.00, 90.00 and 90.00 degrees. The asymmetric unit holds Co at (0.000, 0.000, 0.000), Ni at (0.216, 0.250, 0.125) and Au at (0.000, 0.000, 0.500).

The energy above the most stable polymorph in this dataset is 364.2 meV per atom.

[10]
VASP calculation (PBE-GGA) on a relaxed structure of Co2NiAu.

The space group is R-3m (No. 166, hexagonal axes) and the conventional cell measures 2.6474, 2.6474 and 25.8358 Å, with angles of 90.00, 90.00 and 120.00 degrees. The asymmetric unit holds Co at (0.0000, 0.0000, 0.2421), Ni at (0.0000, 0.0000, 0.5000) and Au at (0.0000, 0.0000, 0.0000).

The energy above the most stable polymorph in this dataset is 116.9 meV per atom.

[11]
VASP calculation (PBE-GGA) on a relaxed structure of CoNiAu2.

The space group is I4/mmm (No. 139) and the conventional cell measures 4.041, 4.041 and 7.156 Å, with angles of 90.00, 90.00 and 90.00 degrees. The asymmetric unit holds Co at (0.000, 0.000, 0.000), Ni at (0.000, 0.000, 0.500) and Au at (0.000, 0.500, 0.250).

The energy above the most stable polymorph in this dataset is 85.3 meV per atom.

[12]
VASP calculation (PBE-GGA) on a relaxed structure of CoNiAu2.

The space group is R-3m (No. 166, hexagonal axes) and the conventional cell measures 2.7949, 2.7949 and 26.2410 Å, with angles of 90.00, 90.00 and 120.00 degrees. The asymmetric unit holds Co at (0.0000, 0.0000, 0.0000), Ni at (0.0000, 0.0000, 0.5000) and Au at (0.0000, 0.0000, 0.2494).

The energy above the most stable polymorph in this dataset is 146.7 meV per atom.

[13]
VASP calculation (PBE-GGA) on a relaxed structure of CoNi2Au.

The space group is I-4m2 (No. 119) and the conventional cell measures 3.692, 3.692 and 7.478 Å, with angles of 90.00, 90.00 and 90.00 degrees. The asymmetric unit holds Co at (0.000, 0.000, 0.000), Ni at (0.000, 0.000, 0.500), Ni at (0.000, 0.500, 0.750) and Au at (0.000, 0.500, 0.250).

The energy above the most stable polymorph in this dataset is 32.4 meV per atom.

[14]
VASP calculation (PBE-GGA) on a relaxed structure of CoNi6Au.

The space group is Cmmm (No. 65) and the conventional cell measures 7.210, 10.235 and 10.258 Å, with angles of 90.00, 90.00 and 90.00 degrees. The asymmetric unit holds Co at (0.000, 0.000, 0.248), Co at (0.000, 0.251, 0.000), Ni at (0.000, 0.000, 0.000), Ni at (0.000, 0.000, 0.500), Ni at (0.000, 0.244, 0.240), Ni at (0.000, 0.500, 0.000), Ni at (0.000, 0.500, 0.500), Ni at (0.240, 0.122, 0.368), Ni at (0.242, 0.128, 0.119), Au at (0.000, 0.254, 0.500) and Au at (0.000, 0.500, 0.247).

[15]
VASP calculation (PBE-GGA) on a relaxed structure of CoNi2Au.

The space group is C2/m (No. 12) and the conventional cell measures 8.501, 2.661 and 4.625 Å, with angles of 90.00, 100.19 and 90.00 degrees. The asymmetric unit holds Co at (0.000, 0.000, 0.000), Ni at (0.244, 0.500, 0.223) and Au at (0.000, 0.500, 0.500).

The energy above the most stable polymorph in this dataset is 49.8 meV per atom.

[16]
VASP calculation (PBE-GGA) on a relaxed structure of CoNiAu2.

The space group is F-43m (No. 216) and the conventional cell measures 6.212, 6.212 and 6.212 Å, with angles of 90.00, 90.00 and 90.00 degrees. The asymmetric unit holds Co at (0.000, 0.000, 0.000), Ni at (0.250, 0.250, 0.750), Au at (0.000, 0.000, 0.500) and Au at (0.250, 0.250, 0.250).

The energy above the most stable polymorph in this dataset is 189.3 meV per atom.

[17]
VASP calculation (PBE-GGA) on a relaxed structure of Co2NiAu.

The space group is Fm-3m (No. 225) and the conventional cell measures 5.924, 5.924 and 5.924 Å, with angles of 90.00, 90.00 and 90.00 degrees. The asymmetric unit holds Co at (0.250, 0.250, 0.250), Ni at (0.000, 0.000, 0.000) and Au at (0.000, 0.000, 0.500).

The energy above the most stable polymorph in this dataset is 179.7 meV per atom.

[18]
VASP calculation (PBE-GGA) on a relaxed structure of CoNiAu2.

The space group is C2/m (No. 12) and the conventional cell measures 8.828, 2.777 and 4.915 Å, with angles of 90.00, 99.95 and 90.00 degrees. The asymmetric unit holds Co at (0.000, 0.000, 0.000), Ni at (0.000, 0.500, 0.500) and Au at (0.250, 0.000, 0.750).

The energy above the most stable polymorph in this dataset is 145.3 meV per atom.

[19]
VASP calculation (PBE-GGA) on a relaxed structure of CoNi2Au.

The space group is P4/mmm (No. 123) and the conventional cell measures 2.694, 2.694 and 7.079 Å, with angles of 90.00, 90.00 and 90.00 degrees. The asymmetric unit holds Co at (0.000, 0.000, 0.000), Ni at (0.500, 0.500, 0.219) and Au at (0.000, 0.000, 0.500).

The energy above the most stable polymorph in this dataset is 0.0 meV per atom.

[20]
VASP calculation (PBE-GGA) on a relaxed structure of CoNi2Au.

The space group is R-3m (No. 166, hexagonal axes) and the conventional cell measures 2.6603, 2.6603 and 25.5077 Å, with angles of 90.00, 90.00 and 120.00 degrees. The asymmetric unit holds Co at (0.0000, 0.0000, 0.0000), Ni at (0.0000, 0.0000, 0.2578) and Au at (0.0000, 0.0000, 0.5000).

The energy above the most stable polymorph in this dataset is 74.9 meV per atom.

Energy of formation
In order: 0.197, 0.135, 0.167, 0.223, 0.194, 0.227, 0.157, 0.532, 0.464, 0.250, 0.201, 0.263, 0.132, 0.060, 0.149, 0.305, 0.313, 0.261, 0.099, 0.174
Unit: eV/atom
E_tot
In order: -18.7, -21.4, -31.3, -18.5, -21.2, -15.5, -45.3, -84.6, -80.4, -66.8, -37.3, -55.2, -42.8, -356.7, -42.7, -72.9, -88.1, -36.8, -21.5, -63.7
Unit: eV per cell